[1]
This record from Alexandria via LeMat-Bulk describes a relaxed NaTcSnTe2 crystal. The functional is PBE-GGA.

a b c (Å): 5.1905 5.1905 5.3814
angles (deg): 90.00 90.00 90.00
Positions (direct):
Na 0.0000 0.0000 0.0000
Tc 0.0000 0.0000 0.5000
Sn 0.5000 0.5000 0.0000
Te 0.0000 0.5000 0.5000
Te 0.5000 0.0000 0.5000

Summary:
Calculated total energy ... -3.98 eV per atom
Volume ... 145 Å³ per cell
Formation energy from raw total energies ... 2.09 eV/f.u.

***

[2]
This record from Alexandria via LeMat-Bulk describes a relaxed Na5SnTe5 crystal. The functional is PBE-GGA.

a b c (Å): 8.0682 8.0682 8.7327
angles (deg): 105.64 105.64 45.28
Positions (direct):
Na 0.0000 0.0000 0.0000
Na 0.3174 0.3174 0.6376
Na 0.3196 0.3196 0.1833
Na 0.6804 0.6804 0.8167
Na 0.6826 0.6826 0.3624
Sn 0.0000 0.0000 0.5000
Te 0.1409 0.1409 0.3284
Te 0.1531 0.1531 0.8126
Te 0.5000 0.5000 0.5000
Te 0.8469 0.8469 0.1874
Te 0.8591 0.8591 0.6716

Summary:
Calculated total energy ... -2.95 eV per atom
Volume ... 386 Å³ per cell
Formation energy from raw total energies ... -6.16 eV/f.u.

***

[3]
This record from Alexandria via LeMat-Bulk describes a relaxed Na2Sn3Te6 crystal. The functional is PBE-GGA.

a b c (Å): 7.4094 7.4094 8.1633
angles (deg): 98.84 98.84 120.05
Positions (direct):
Na 0.1643 0.8357 0.0000
Na 0.8357 0.1643 0.0000
Sn 0.0000 0.0000 0.5000
Sn 0.3280 0.6720 0.5000
Sn 0.6720 0.3280 0.5000
Te 0.0801 0.4112 0.7297
Te 0.2583 0.2583 0.2759
Te 0.4112 0.0801 0.7297
Te 0.5888 0.9199 0.2703
Te 0.7417 0.7417 0.7241
Te 0.9199 0.5888 0.2703

Summary:
Calculated total energy ... -3.42 eV per atom
Volume ... 369 Å³ per cell
Formation energy from raw total energies ... -4.15 eV/f.u.

***

[4]
This record from Alexandria via LeMat-Bulk describes a relaxed Na3Sn4Te8 crystal. The functional is PBE-GGA.

a b c (Å): 8.8213 8.8213 8.5876
angles (deg): 118.77 118.77 90.56
Positions (direct):
Na 0.0000 0.0000 0.0000
Na 0.0000 0.5000 0.0000
Na 0.5000 0.0000 0.0000
Sn 0.0000 0.5000 0.5000
Sn 0.5000 0.0000 0.5000
Sn 0.5000 0.5000 0.0000
Sn 0.5000 0.5000 0.5000
Te 0.2563 0.7437 0.0000
Te 0.2567 0.2567 0.5094
Te 0.2582 0.7418 0.5000
Te 0.2737 0.2737 0.0284
Te 0.7263 0.7263 0.9716
Te 0.7418 0.2582 0.5000
Te 0.7433 0.7433 0.4906
Te 0.7437 0.2563 0.0000

Summary:
Calculated total energy ... -3.37 eV per atom
Volume ... 487 Å³ per cell
Formation energy from raw total energies ... -5.46 eV/f.u.

***

[5]
This record from Alexandria via LeMat-Bulk describes a relaxed Na2SnTe3 crystal. The functional is PBE-GGA.

a b c (Å): 7.9001 7.9001 8.5523
angles (deg): 96.65 96.65 54.29
Positions (direct):
Na 0.0571 0.2441 0.0456
Na 0.2441 0.0571 0.5456
Na 0.7559 0.9429 0.4544
Na 0.9429 0.7559 0.9544
Sn 0.4104 0.5896 0.2500
Sn 0.5896 0.4104 0.7500
Te 0.0287 0.9713 0.2500
Te 0.2980 0.4238 0.5208
Te 0.4238 0.2980 0.0208
Te 0.5762 0.7020 0.9792
Te 0.7020 0.5762 0.4792
Te 0.9713 0.0287 0.7500

Summary:
Calculated total energy ... -3.17 eV per atom
Volume ... 430 Å³ per cell
Formation energy from raw total energies ... -2.96 eV/f.u.

***

[6]
This record from Alexandria via LeMat-Bulk describes a relaxed NaSnTe2 crystal. The functional is PBE-GGA.

a b c (Å): 4.3469 4.3469 8.1201
angles (deg): 105.61 105.61 60.12
Positions (direct):
Na 0.0000 0.0000 0.0000
Sn 0.5000 0.5000 0.5000
Te 0.2445 0.2445 0.7319
Te 0.7555 0.7555 0.2681

Summary:
Calculated total energy ... -3.39 eV per atom
Volume ... 126 Å³ per cell
Formation energy from raw total energies ... -1.94 eV/f.u.